# Rb3SnW | Alexandria via LeMat-Bulk | PBEsol | relaxed
data_Rb3SnW
_chemical_formula_sum 'Rb3 Sn1 W1'
_cell_length_a 6.6741
_cell_length_b 6.6741
_cell_length_c 6.6741
_cell_angle_alpha 90.00
_cell_angle_beta 90.00
_cell_angle_gamma 90.00
_symmetry_space_group_name_H-M 'P 1'
_symmetry_Int_Tables_number 1
loop_
_symmetry_equiv_pos_as_xyz
'x,y,z'
loop_
_atom_site_label
_atom_site_fract_x
_atom_site_fract_y
_atom_site_fract_z
Rb1 0.0000 0.5000 0.0000
Rb2 0.0000 0.0000 0.5000
Rb3 0.5000 0.0000 0.0000
Sn1 0.5000 0.5000 0.5000
W1 0.0000 0.0000 0.0000
# DOS at the Fermi energy: 3.3 states/eV per cell
# Uncorrected energy: -2.56 eV per atom
# Formation energy: 1664 meV/atom
# Magnetic moment: 2.96 μB per cell